Version one
Material: MgReHN
Method: DFT, PBE
State: optimized geometry

POSCAR file:
```
MgReHN
1.0
3.683 0.000 0.000
0.000 2.820 0.000
0.000 0.000 7.575
Mg Re H N
2 2 2 2
direct
0.000 0.000 0.455
0.000 0.500 0.955
0.500 0.000 0.174
0.500 0.500 0.674
0.000 0.000 0.177
0.000 0.500 0.677
0.500 0.000 0.880
0.500 0.500 0.380
```

Output
Theoretical density = 9.52 Mg/m³


Version two
Material: MgReHN
Method: DFT, PBE
State: optimized geometry

POSCAR file:
```
MgReHN
1.0
-1.403 -2.258 -0.857
2.267 -0.909 -1.316
1.708 -2.198 4.459
Mg Re H N
1 1 1 1
direct
0.349 0.500 0.242
0.428 0.000 0.727
0.976 0.000 0.964
0.884 0.000 0.442
```

Output
Theoretical density = 9.23 Mg/m³


The most stable of them is version two.


Version one
Material: MgReHN
Method: DFT, PBE
State: optimized geometry

POSCAR file:
```
MgReHN
1.0
3.403 0.000 0.000
0.000 3.131 0.000
0.000 0.000 9.284
Mg Re H N
2 2 2 2
direct
0.500 0.000 0.122
0.500 0.500 0.622
0.000 0.000 0.379
0.000 0.500 0.879
0.000 0.000 0.773
0.000 0.500 0.273
0.500 0.000 0.469
0.500 0.500 0.969
```

Output
Theoretical density = 7.57 Mg/m³


Version two
Material: MgReHN
Method: DFT, PBE
State: optimized geometry

POSCAR file:
```
MgReHN
1.0
2.889 0.000 0.000
0.000 2.786 0.000
0.000 0.000 9.644
Mg Re H N
2 2 2 2
direct
0.500 0.000 0.749
0.500 0.500 0.249
0.000 0.000 0.020
0.000 0.500 0.520
0.000 0.000 0.201
0.000 0.500 0.701
0.500 0.000 0.427
0.500 0.500 0.927
```

Output
Theoretical density = 9.65 Mg/m³


The most stable of them is version one.


Version one
Material: MgReHN
Method: DFT, PBE
State: optimized geometry

POSCAR file:
```
MgReHN
1.0
3.146 0.000 0.013
0.000 3.174 0.000
-0.016 0.000 3.984
Mg Re H N
1 1 1 1
direct
0.646 0.000 0.492
0.141 0.500 0.992
0.420 0.000 0.992
0.138 0.500 0.492
```

Output
Theoretical density = 9.41 Mg/m³


Version two
Material: MgReHN
Method: DFT, PBE
State: optimized geometry

POSCAR file:
```
MgReHN
1.0
-1.282 -1.925 2.005
1.374 -1.093 -2.507
4.810 -0.313 2.774
Mg Re H N
1 1 1 1
direct
0.333 0.667 0.625
0.667 0.333 0.098
0.333 0.667 0.159
0.667 0.333 0.430
```

Output
Theoretical density = 8.30 Mg/m³


The most stable of them is version one.


Version one
Material: MgReHN
Method: DFT, PBE
State: optimized geometry

POSCAR file:
```
MgReHN
1.0
2.914 0.000 0.000
0.000 3.102 0.000
0.000 0.000 4.849
Mg Re H N
1 1 1 1
direct
0.500 0.000 0.832
0.000 0.500 0.265
0.000 0.500 0.913
0.000 0.000 0.506
```

Output
Theoretical density = 8.54 Mg/m³


Version two
Material: MgReHN
Method: DFT, PBE
State: optimized geometry

POSCAR file:
```
MgReHN
1.0
2.927 0.000 0.000
-1.464 2.535 0.000
0.000 0.000 15.661
Mg Re H N
3 3 3 3
direct
0.000 0.000 0.153
0.333 0.667 0.820
0.667 0.333 0.487
0.000 0.000 0.327
0.333 0.667 0.993
0.667 0.333 0.660
0.000 0.000 0.436
0.333 0.667 0.103
0.667 0.333 0.769
0.000 0.000 0.911
0.333 0.667 0.578
0.667 0.333 0.244
```

Output
Theoretical density = 9.67 Mg/m³


Version three
Material: MgReHN
Method: DFT, PBE
State: optimized geometry

POSCAR file:
```
MgReHN
1.0
-0.309 2.826 -0.812
-2.340 -1.808 -0.018
-1.024 1.276 4.828
Mg Re H N
1 1 1 1
direct
0.667 0.333 0.803
0.333 0.667 0.303
0.333 0.667 0.970
0.000 0.000 0.550
```

Output
Theoretical density = 9.70 Mg/m³


Version four
Material: MgReHN
Method: DFT, PBE
State: optimized geometry

POSCAR file:
```
MgReHN
1.0
5.076 0.000 -0.011
0.000 2.930 0.000
-0.151 0.000 5.166
Mg Re H N
2 2 2 2
direct
0.322 0.000 0.956
0.322 0.500 0.456
0.812 0.000 0.273
0.812 0.500 0.773
0.601 0.000 0.672
0.601 0.500 0.172
0.060 0.000 0.614
0.060 0.500 0.114
```

Output
Theoretical density = 9.75 Mg/m³


The most stable of them is version three.


Version one
Material: MgHS2N
Method: DFT, PBE
State: optimized geometry

POSCAR file:
```
MgHS2N
1.0
-4.193 -0.799 2.075
-0.057 -4.389 -1.805
1.252 -0.912 2.179
H S Mg N
1 2 1 1
direct
0.000 0.000 0.000
0.000 0.500 0.000
0.500 0.000 0.000
0.500 0.500 0.500
0.000 0.000 0.500
```

Output
Theoretical density = 2.85 Mg/m³


Version two
Material: MgHS2N
Method: DFT, PBE
State: optimized geometry

POSCAR file:
```
MgHS2N
1.0
4.895 0.000 0.000
0.000 4.895 0.000
0.000 0.000 4.224
H S Mg N
1 2 1 1
direct
0.500 0.500 0.500
0.000 0.500 0.000
0.500 0.000 0.000
0.000 0.000 0.000
0.000 0.000 0.500
```

Output
Theoretical density = 1.70 Mg/m³


The most stable of them is version one.


Version one
Material: MgHSe2N
Method: DFT, PBE
State: optimized geometry

POSCAR file:
```
MgHSe2N
1.0
-4.616 -2.247 -0.943
1.843 -4.540 1.799
-1.248 0.985 3.763
H Mg Se N
1 1 2 1
direct
0.500 0.500 0.500
0.000 0.000 0.000
0.000 0.500 0.000
0.500 0.000 0.000
0.000 0.000 0.500
```

Output
Theoretical density = 2.94 Mg/m³


Version two
Material: MgHSe2N
Method: DFT, PBE
State: optimized geometry

POSCAR file:
```
MgHSe2N
1.0
-3.221 2.076 3.282
1.457 -3.307 3.521
1.969 1.748 0.827
H Mg Se N
1 1 2 1
direct
0.000 0.000 0.000
0.500 0.500 0.500
0.000 0.500 0.000
0.500 0.000 0.000
0.000 0.000 0.500
```

Output
Theoretical density = 4.66 Mg/m³


The most stable of them is version two.


Version one
Material: MgHSeN2
Method: DFT, PBE
State: optimized geometry

POSCAR file:
```
MgHSeN2
1.0
-2.932 2.749 0.710
-2.267 -2.881 1.795
2.332 1.220 4.904
H Mg Se N
1 1 1 2
direct
0.500 0.500 0.500
0.000 0.000 0.000
0.000 0.000 0.500
0.000 0.500 0.000
0.500 0.000 0.000
```

Output
Theoretical density = 2.37 Mg/m³


Version two
Material: MgHSeN2
Method: DFT, PBE
State: optimized geometry

POSCAR file:
```
MgHSeN2
1.0
4.005 0.000 0.000
0.000 4.005 0.000
0.000 0.000 3.258
H Mg Se N
1 1 1 2
direct
0.000 0.000 0.000
0.500 0.500 0.500
0.000 0.000 0.500
0.000 0.500 0.000
0.500 0.000 0.000
```

Output
Theoretical density = 4.20 Mg/m³


The most stable of them is version two.


Version one
Material: MgTeHN2
Method: DFT, PBE
State: optimized geometry

POSCAR file:
```
MgTeHN2
1.0
4.183 0.000 0.000
0.000 4.183 0.000
0.000 0.000 3.444
H Mg Te N
1 1 1 2
direct
0.000 0.000 0.000
0.500 0.500 0.500
0.000 0.000 0.500
0.000 0.500 0.000
0.500 0.000 0.000
```

Output
Theoretical density = 4.98 Mg/m³


Version two
Material: MgTeHN2
Method: DFT, PBE
State: optimized geometry

POSCAR file:
```
MgTeHN2
1.0
4.010 0.000 0.000
0.000 4.010 0.000
0.000 0.000 6.176
H Mg Te N
1 1 1 2
direct
0.500 0.500 0.500
0.000 0.000 0.000
0.000 0.000 0.500
0.000 0.500 0.000
0.500 0.000 0.000
```

Output
Theoretical density = 3.02 Mg/m³


The most stable of them is version one.


Version one
Material: NaMgH2
Method: DFT, PBE
State: optimized geometry

POSCAR file:
```
NaMgH2
1.0
-2.068 4.023 -2.026
-4.389 -1.298 1.902
-2.202 3.983 4.094
Na Mg H
2 2 4
direct
0.500 0.500 0.000
0.250 0.750 0.500
0.000 0.000 0.000
0.750 0.250 0.500
0.713 0.125 0.250
0.037 0.625 0.250
0.375 0.287 0.750
0.875 0.963 0.750
```

Output
Theoretical density = 1.33 Mg/m³


Version two
Material: NaMgH2
Method: DFT, PBE
State: optimized geometry

POSCAR file:
```
NaMgH2
1.0
0.000 2.944 2.944
2.944 0.000 2.944
2.944 2.944 0.000
Na Mg H
1 1 2
direct
0.000 0.000 0.000
0.500 0.500 0.500
0.250 0.250 0.250
0.750 0.750 0.750
```

Output
Theoretical density = 1.61 Mg/m³


Version three
Material: NaMgH2
Method: DFT, PBE
State: optimized geometry

POSCAR file:
```
NaMgH2
1.0
3.870 0.000 0.000
0.000 5.490 0.000
0.000 0.000 10.549
Na Mg H
4 4 8
direct
0.750 0.536 0.365
0.750 0.036 0.135
0.250 0.464 0.635
0.250 0.964 0.865
0.250 0.037 0.388
0.750 0.963 0.612
0.250 0.537 0.112
0.750 0.463 0.888
0.750 0.499 0.088
0.250 0.501 0.912
0.750 0.999 0.412
0.250 0.001 0.588
0.750 0.230 0.741
0.250 0.270 0.241
0.750 0.730 0.759
0.250 0.770 0.259
```

Output
Theoretical density = 1.46 Mg/m³


The most stable of them is version three.


Version one
Material: NaMgH2
Method: DFT, PBE
State: optimized geometry

POSCAR file:
```
NaMgH2
1.0
3.145 0.000 0.000
1.572 2.723 0.000
1.572 0.908 7.806
Na Mg H
1 1 2
direct
0.000 0.000 0.000
0.500 0.500 0.500
0.129 0.129 0.613
0.871 0.871 0.387
```

Output
Theoretical density = 1.22 Mg/m³


Version two
Material: NaMgH2
Method: DFT, PBE
State: optimized geometry

POSCAR file:
```
NaMgH2
1.0
2.893 0.000 0.000
0.000 2.893 0.000
0.000 0.000 6.045
Na Mg H
1 1 2
direct
0.500 0.500 0.500
0.500 0.500 0.000
0.000 0.000 0.793
0.000 0.000 0.207
```

Output
Theoretical density = 1.62 Mg/m³


The most stable of them is version one.


Version one
Material: Na2MgH4
Method: DFT, PBE
State: optimized geometry

POSCAR file:
```
Na2MgH4
1.0
-3.408 -3.172 3.398
0.002 -4.270 -3.985
6.173 -1.237 1.328
Na Mg H
4 2 8
direct
0.659 0.750 0.020
0.341 0.250 0.980
0.228 0.250 0.448
0.772 0.750 0.552
0.216 0.750 0.188
0.784 0.250 0.812
0.452 0.518 0.247
0.022 0.750 0.897
0.978 0.250 0.103
0.452 0.982 0.247
0.994 0.250 0.655
0.548 0.018 0.753
0.548 0.482 0.753
0.006 0.750 0.345
```

Output
Theoretical density = 1.21 Mg/m³


Version two
Material: Na2MgH4
Method: DFT, PBE
State: optimized geometry

POSCAR file:
```
Na2MgH4
1.0
5.156 0.000 -1.062
-0.219 5.152 -1.062
-0.051 -0.053 12.800
Na Mg H
8 4 16
direct
0.924 0.424 0.848
0.174 0.174 0.348
0.326 0.326 0.652
0.076 0.576 0.152
0.674 0.674 0.348
0.424 0.924 0.848
0.576 0.076 0.152
0.826 0.826 0.652
0.250 0.750 0.500
0.500 0.500 0.000
0.000 0.000 0.000
0.750 0.250 0.500
0.582 0.582 0.164
0.332 0.832 0.664
0.668 0.168 0.336
0.918 0.918 0.836
0.168 0.668 0.336
0.418 0.418 0.836
0.082 0.082 0.164
0.832 0.332 0.664
0.558 0.558 0.500
0.692 0.808 0.000
0.308 0.192 0.000
0.942 0.942 0.500
0.808 0.308 0.000
0.442 0.058 0.500
0.058 0.442 0.500
0.192 0.692 0.000
```

Output
Theoretical density = 1.45 Mg/m³


The most stable of them is version two.